DFT (PBE with a Hubbard U) results for a relaxed KNaVF4 crystal.

Calculated values
- Total magnetization: 3.000 μB per formula unit
- DFT total energy: -36.16 eV for the cell shown

a = 7.0157 Å, b = 7.0157 Å, c = 7.0157 Å
α = 145.46°, β = 145.46°, γ = 49.64°
Element x y z (fractional)
K  0.0000  0.0000  0.0000
Na  0.7064  0.7064  0.0000
V  0.3552  0.3552  0.0000
F  0.1926  0.1926  0.0000
F  0.3483  0.8483  0.5000
F  0.5244  0.5244  0.0000
F  0.8483  0.3483  0.5000